Entry 1:
Here is Sc2TiHg after structural relaxation from Alexandria. Energies are from PBE-GGA.

a = 10.536 Å, b = 10.536 Å, c = 10.536 Å
α = 17.32°, β = 17.32°, γ = 17.32°
Fractional coordinates of all 4 atoms:
1 Sc 0.912 0.912 0.912
2 Sc 0.088 0.088 0.088
3 Hg 0.500 0.500 0.500
4 Ti 0.000 0.000 0.000

Calculated values
**Formation energy**: 0.22 eV/atom
**Raw total energy**: -4.995 eV/atom

---

Entry 2:
Here is BaAl3P after structural relaxation from Alexandria. Energies are from PBE-GGA.

a = 5.911 Å, b = 5.911 Å, c = 5.911 Å
α = 90.00°, β = 90.00°, γ = 90.00°
Fractional coordinates of all 5 atoms:
1 P 0.500 0.500 0.500
2 Ba 0.000 0.000 0.000
3 Al 0.000 0.500 0.000
4 Al 0.500 0.000 0.000
5 Al 0.000 0.000 0.500

Calculated values
**Formation energy**: 1.80 eV/atom
**Raw total energy**: -1.914 eV/atom
**E above lowest polymorph**: 1.6109 eV/atom

---

Entry 3:
Here is Sr2CuCO5 after structural relaxation from Alexandria. Energies are from PBE-GGA.

a = 8.658 Å, b = 8.658 Å, c = 8.658 Å
α = 142.60°, β = 142.60°, γ = 53.93°
Fractional coordinates of all 18 atoms:
1 Sr 0.112 0.612 0.500
2 Sr 0.612 0.112 0.500
3 Sr 0.888 0.388 0.500
4 Sr 0.388 0.888 0.500
5 O 0.434 0.146 0.000
6 O 0.566 0.566 0.712
7 O 0.836 0.836 0.000
8 O 0.146 0.434 0.000
9 O 0.743 0.743 0.496
10 O 0.753 0.257 0.000
11 O 0.247 0.247 0.504
12 O 0.257 0.753 0.000
13 O 0.854 0.854 0.288
14 O 0.164 0.164 0.000
15 C 0.752 0.752 0.000
16 C 0.248 0.248 0.000
17 Cu 0.000 0.000 0.000
18 Cu 0.500 0.500 0.000

Calculated values
**Raw total energy**: -6.601 eV/atom
**Formation energy from raw total energies**: -1992.8 meV/atom
**E above lowest polymorph**: 0.0077 eV/atom